Computed, not measured: Ho5Tm12Th2 after structural relaxation at the PBE-GGA level of DFT.

The structure in POSCAR format:
```
Ho5Tm12Th2
1.0
5.997 -5.839 0.000
5.997 5.839 0.000
-2.450 0.000 8.570
Ho Tm Th
5 12 2
direct
0.000 0.000 0.000
0.264 0.264 0.398
0.271 0.271 0.998
0.729 0.729 0.002
0.736 0.736 0.602
0.071 0.517 0.705
0.086 0.086 0.667
0.153 0.663 0.111
0.337 0.847 0.889
0.467 0.467 0.772
0.483 0.929 0.295
0.517 0.071 0.705
0.533 0.533 0.228
0.663 0.153 0.111
0.847 0.337 0.889
0.914 0.914 0.333
0.929 0.483 0.295
0.291 0.709 0.500
0.709 0.291 0.500
```

Summary:
- Excess energy over the best structure of this formula in the dataset: 0.0261 eV/atom
- Calculated formation energy: 4.048 kcal/mol of atoms


Computed, not measured: CaLa4Ti3RuO15 after structural relaxation at the PBE-GGA level of DFT.

The structure in POSCAR format:
```
CaLa4Ti3RuO15
1.0
5.546 0.000 0.000
-2.773 4.803 0.000
0.000 0.000 11.112
Ca La Ti Ru O
1 4 3 1 15
direct
0.000 0.000 0.000
0.333 0.667 0.415
0.333 0.667 0.771
0.667 0.333 0.208
0.667 0.333 0.566
0.000 0.000 0.309
0.000 0.000 0.672
0.333 0.667 0.091
0.667 0.333 0.888
0.002 0.501 0.991
0.166 0.333 0.191
0.166 0.834 0.191
0.173 0.346 0.592
0.173 0.827 0.592
0.332 0.166 0.785
0.347 0.173 0.386
0.499 0.501 0.991
0.499 0.998 0.991
0.654 0.827 0.592
0.667 0.834 0.191
0.827 0.173 0.386
0.827 0.653 0.386
0.834 0.166 0.785
0.834 0.668 0.785
```

Summary:
- ΔE_f (raw): -2956 meV per atom


Computed, not measured: Y2GaGe after structural relaxation at the PBE-GGA level of DFT.

The structure in POSCAR format:
```
Y2GaGe
1.0
3.844 0.000 0.000
-1.922 3.329 0.000
0.000 0.000 23.899
Y Ga Ge
6 3 3
direct
0.000 0.000 0.245
0.000 0.000 0.755
0.333 0.667 0.421
0.333 0.667 0.912
0.667 0.333 0.088
0.667 0.333 0.579
0.000 0.000 0.000
0.333 0.667 0.667
0.667 0.333 0.333
0.000 0.000 0.500
0.333 0.667 0.167
0.667 0.333 0.833
```

Summary:
- Calculated formation energy: -12.424 kcal/mol of atoms


Computed, not measured: Tc4WAu after structural relaxation at the PBE-GGA level of DFT.

The structure in POSCAR format:
```
Tc4WAu
1.0
0.000 3.617 3.617
3.617 0.000 3.617
3.617 3.617 0.000
Tc W Au
4 1 1
direct
0.376 0.376 0.376
0.376 0.376 0.872
0.376 0.872 0.376
0.872 0.376 0.376
0.000 0.000 0.000
0.750 0.750 0.750
```

Summary:
- Calculated formation energy: 7.806 kcal/mol of atoms


Computed, not measured: LuPaCu after structural relaxation at the PBE-GGA level of DFT.

The structure in POSCAR format:
```
LuPaCu
1.0
3.244 0.000 0.000
0.000 3.244 0.000
0.000 0.000 12.600
Lu Pa Cu
2 2 2
direct
0.000 0.000 0.000
0.500 0.500 0.500
0.000 0.000 0.296
0.500 0.500 0.796
0.000 0.000 0.642
0.500 0.500 0.142
```

Summary:
- Calculated formation energy: 1.252 kcal/mol of atoms


Computed, not measured: Ac2AlPb2Au4 after structural relaxation at the PBE-GGA level of DFT.

The structure in POSCAR format:
```
Ac2AlPb2Au4
1.0
-3.444 3.444 4.948
3.444 -3.444 4.948
3.444 3.444 -4.948
Ac Al Pb Au
2 1 2 4
direct
0.250 0.750 0.500
0.750 0.250 0.500
0.000 0.000 0.000
0.310 0.310 0.000
0.690 0.690 0.000
0.260 0.260 0.521
0.260 0.740 0.000
0.740 0.260 0.000
0.740 0.740 0.479
```

Summary:
- Calculated formation energy: -12.292 kcal/mol of atoms


Computed, not measured: Sr2CuPt after structural relaxation at the PBE-GGA level of DFT.

The structure in POSCAR format:
```
Sr2CuPt
1.0
3.645 0.000 0.000
0.000 3.645 0.000
0.000 0.000 8.607
Sr Cu Pt
2 1 1
direct
0.000 0.000 0.000
0.500 0.500 0.437
0.000 0.000 0.668
0.500 0.500 0.778
```

Summary:
- Calculated formation energy: -4.108 kcal/mol of atoms


Computed, not measured: Ca2YMgO after structural relaxation at the PBE-GGA level of DFT.

The structure in POSCAR format:
```
Ca2YMgO
1.0
5.151 0.000 0.000
0.000 5.151 0.000
0.000 0.000 4.631
Ca Y Mg O
2 1 1 1
direct
0.000 0.500 0.000
0.500 0.000 0.000
0.000 0.000 0.500
0.500 0.500 0.500
0.000 0.000 0.000
```

Summary:
- ΔE_f (raw): -1134 meV per atom


E? In order: -88.051 -199.987 -68.182 -55.663 -35.901 -37.283 -14.213 -22.692 eV/cell.